This record from Alexandria via LeMat-Bulk describes a relaxed structure of InFeCo2H. The functional is GGA-PBE.

Output
Symmetry: P4/mmm, No. 123
VASP energy (eV for the cell shown): -28.3
Total moment (μB/f.u.): 4.134

Unit cell a=3.8360 b=3.8360 c=3.6870 alpha=90.00 beta=90.00 gamma=90.00
Closest atoms and distances in Å follow each position.
Sites, in units of the cell vectors:
1 H 0.0000 0.0000 0.0000  2 Fe 1.84, 4 Co 1.92
2 Co 0.0000 0.5000 0.0000  2 H 1.92
3 Co 0.5000 0.0000 0.0000  2 H 1.92
4 Fe 0.0000 0.0000 0.5000  2 H 1.84
5 In 0.5000 0.5000 0.5000  8 Co 2.66, 4 Fe 2.71